1.
# BaNa6O4 PBE optimized geometry
data_BaNa6O4
_chemical_formula_sum 'Ba8 Na48 O32'
_cell_length_a 11.529
_cell_length_b 11.529
_cell_length_c 11.529
_cell_angle_alpha 90.00
_cell_angle_beta 90.00
_cell_angle_gamma 90.00
_symmetry_space_group_name_H-M 'I -4 3 m'
_symmetry_Int_Tables_number 217
_symmetry_space_group_name_Hall 'I -4 2 3'
loop_
_atom_site_label
_atom_site_fract_x
_atom_site_fract_y
_atom_site_fract_z
Ba1 0.126 0.126 0.874
Na1 0.095 0.377 0.377
Na2 0.127 0.127 0.345
O1 0.000 0.000 0.000
O2 0.000 0.000 0.500
O3 0.015 0.260 0.740
# DFT total energy = -4.104 eV per atom
# Energy relative to the lowest polymorph listed for this composition = 12.6 meV/atom
# ΔE_f (raw) = -1407 meV per atom


2.
# Ba2NaO PBE optimized geometry
data_Ba2NaO
_chemical_formula_sum 'Ba6 Na3 O3'
_cell_length_a 3.9960
_cell_length_b 3.9960
_cell_length_c 31.1657
_cell_angle_alpha 90.00
_cell_angle_beta 90.00
_cell_angle_gamma 120.00
_symmetry_space_group_name_H-M 'R -3 m'
_symmetry_Int_Tables_number 166
_symmetry_space_group_name_Hall '-R 3 2"'
loop_
_atom_site_label
_atom_site_fract_x
_atom_site_fract_y
_atom_site_fract_z
Ba1 0.0000 0.0000 0.2165
Na1 0.0000 0.0000 0.0000
O1 0.0000 0.0000 0.5000
# DFT total energy = -3.637 eV per atom
# N(E_F) = 3.10 states/eV/f.u.
# ΔE_f (raw) = -1107 meV per atom


3.
# BaNa6O4 PBE optimized geometry
data_BaNa6O4
_chemical_formula_sum 'Ba2 Na12 O8'
_cell_length_a 8.148
_cell_length_b 8.148
_cell_length_c 5.707
_cell_angle_alpha 90.00
_cell_angle_beta 90.00
_cell_angle_gamma 90.00
_symmetry_space_group_name_H-M 'P 42/n m c'
_symmetry_Int_Tables_number 137
loop_
_symmetry_equiv_pos_as_xyz
'x,y,z'
'-x,-y,-z'
'-y+1/2,x,z+1/2'
'y+1/2,-x,-z+1/2'
'-x+1/2,-y+1/2,z'
'x+1/2,y+1/2,-z'
'y,-x+1/2,z+1/2'
'-y,x+1/2,-z+1/2'
'x+1/2,-y,-z'
'-x+1/2,y,z'
'-y,-x,-z+1/2'
'y,x,z+1/2'
'-x,y+1/2,-z'
'x,-y+1/2,z'
'y+1/2,x+1/2,-z+1/2'
'-y+1/2,-x+1/2,z+1/2'
loop_
_atom_site_label
_atom_site_fract_x
_atom_site_fract_y
_atom_site_fract_z
Ba1 0.250 0.750 0.250
Na1 0.038 0.538 0.750
Na2 0.250 0.250 0.230
O1 0.018 0.250 0.983
# DFT total energy = -4.117 eV per atom
# Energy relative to the lowest polymorph listed for this composition = 0.0 meV/atom
# ΔE_f (raw) = -1420 meV per atom


4.
# BaNaO PBE optimized geometry
data_BaNaO
_chemical_formula_sum 'Ba1 Na1 O1'
_cell_length_a 3.9732
_cell_length_b 3.9732
_cell_length_c 6.7532
_cell_angle_alpha 90.00
_cell_angle_beta 90.00
_cell_angle_gamma 120.00
_symmetry_space_group_name_H-M 'P 3 m 1'
_symmetry_Int_Tables_number 156
_symmetry_space_group_name_Hall 'P 3 -2"'
loop_
_atom_site_label
_atom_site_fract_x
_atom_site_fract_y
_atom_site_fract_z
Ba1 0.0000 0.0000 0.0000
Na1 0.3333 0.6667 0.4172
O1 0.6667 0.3333 0.1597
# DFT total energy = -4.171 eV per atom
# N(E_F) = 0.77 states/eV/f.u.
# ΔE_f (raw) = -1438 meV per atom


5.
# Ba4Na2O PBE optimized geometry
data_Ba4Na2O
_chemical_formula_sum 'Ba8 Na4 O2'
_cell_length_a 5.535
_cell_length_b 5.535
_cell_length_c 20.003
_cell_angle_alpha 90.00
_cell_angle_beta 90.00
_cell_angle_gamma 90.00
_symmetry_space_group_name_H-M 'I 4/m m m'
_symmetry_Int_Tables_number 139
_symmetry_space_group_name_Hall '-I 4 2'
loop_
_atom_site_label
_atom_site_fract_x
_atom_site_fract_y
_atom_site_fract_z
Ba1 0.000 0.000 0.164
Ba2 0.000 0.500 0.000
Na1 0.000 0.000 0.355
O1 0.000 0.000 0.000
# DFT total energy = -2.784 eV per atom
# N(E_F) = 4.75 states/eV/f.u.
# Energy relative to the lowest polymorph listed for this composition = 96.1 meV/atom
# ΔE_f (raw) = -600 meV per atom


6.
# Ba3Na2O PBE optimized geometry
data_Ba3Na2O
_chemical_formula_sum 'Ba12 Na8 O4'
_cell_length_a 11.276
_cell_length_b 12.470
_cell_length_c 10.315
_cell_angle_alpha 90.00
_cell_angle_beta 121.35
_cell_angle_gamma 90.00
_symmetry_space_group_name_H-M 'C 1 2/m 1'
_symmetry_Int_Tables_number 12
_symmetry_space_group_name_Hall '-C 2y'
loop_
_atom_site_label
_atom_site_fract_x
_atom_site_fract_y
_atom_site_fract_z
Ba1 0.121 0.249 0.234
Ba2 0.163 0.000 0.981
Na1 0.000 0.127 0.500
Na2 0.000 0.500 0.000
Na3 0.000 0.500 0.500
O1 0.000 0.136 0.000
# DFT total energy = -2.967 eV per atom
# N(E_F) = 5.38 states/eV/f.u.
# Energy relative to the lowest polymorph listed for this composition = 25.6 meV/atom
# ΔE_f (raw) = -739 meV per atom